The following is a DFT calculation (PBE) of crystalline NbCrW at its relaxed geometry.

## Properties
ΔE to the lowest computed polymorph	56	meV/atom
magnetic moment	0.00	μB per formula unit

Cell and atoms, written as POSCAR:
```
NbCrW
1.0
2.7628 0.0000 0.0000
0.0000 4.3967 0.0000
0.0000 -2.1984 3.8077
W Nb Cr
1 1 1
Direct
0.9899 0.0000 0.0000
0.3403 0.6667 0.3333
0.6698 0.3333 0.6667
```